1.
## RbPH6C2N4O4 (meta-GGA SCAN)

Data for RbPH6C2N4O4 at its PBEsol-relaxed geometry.

The calculated volume comes out at 1491 Å³/cell. As for the crystal system: orthorhombic. For the total energy, the calculation gives -1218.0 eV/cell.

The space group is Fdd2 (No. 43) and the conventional cell measures 10.663, 12.431 and 11.247 Å, with angles of 90.00, 90.00 and 90.00 degrees. The distinct sites, in fractional coordinates, are Rb at (0.000, 0.000, 0.000), P at (0.000, 0.000, 0.677), H at (0.035, 0.209, 0.616), H at (0.073, 0.202, 0.811), H at (0.105, 0.024, 0.270), C at (0.083, 0.363, 0.786), N at (0.104, 0.204, 0.552), N at (0.124, 0.270, 0.838), O at (0.015, 0.140, 0.221) and O at (0.027, 0.397, 0.243).

2.
## RhPb2Cl (meta-GGA SCAN)

Data for RhPb2Cl at its PBEsol-relaxed geometry.

The calculated volume comes out at 348 Å³/cell. As for the crystal system: cubic. As for the formation energy (no corrections): 263.8 meV/atom.

The space group is F-43m (No. 216) and the conventional cell measures 7.033, 7.033 and 7.033 Å, with angles of 90.00, 90.00 and 90.00 degrees. The distinct sites, in fractional coordinates, are Rh at (0.000, 0.000, 0.000), Pb at (0.000, 0.000, 0.500), Pb at (0.250, 0.250, 0.750) and Cl at (0.250, 0.250, 0.250).

3.
## MgCdHg2 (meta-GGA SCAN)

Data for MgCdHg2 at its PBEsol-relaxed geometry.

The calculated volume comes out at 259 Å³/cell. The energy relative to the elements comes out at -0.1589 eV/atom. As for the crystal system: trigonal.

The space group is R-3m (No. 166, hexagonal axes) and the conventional cell measures 3.3300, 3.3300 and 27.0185 Å, with angles of 90.00, 90.00 and 120.00 degrees. The distinct sites, in fractional coordinates, are Mg at (0.0000, 0.0000, 0.0000), Cd at (0.0000, 0.0000, 0.5000) and Hg at (0.0000, 0.0000, 0.2524).

4.
## Sr2CoRe (meta-GGA SCAN)

Data for Sr2CoRe at its PBEsol-relaxed geometry.

The calculated volume comes out at 82 Å³/cell. The energy relative to the elements comes out at 1.1943 eV/atom. As for the excess energy over the best structure of this formula in the dataset: 540 meV/atom. As for the crystal system: tetragonal.

The space group is P4/mmm (No. 123) and the conventional cell measures 2.939, 2.939 and 9.502 Å, with angles of 90.00, 90.00 and 90.00 degrees. The distinct sites, in fractional coordinates, are Sr at (0.000, 0.000, 0.235), Co at (0.500, 0.500, 0.000) and Re at (0.500, 0.500, 0.500).

5.
## HgAsSe2 (meta-GGA SCAN)

Data for HgAsSe2 at its PBEsol-relaxed geometry.

The calculated volume comes out at 82 Å³/cell. As for the excess energy over the best structure of this formula in the dataset: 179 meV/atom. As for the crystal system: tetragonal. As for the formation energy (no corrections): 367.2 meV/atom.

The space group is P4/mmm (No. 123) and the conventional cell measures 3.402, 3.402 and 7.104 Å, with angles of 90.00, 90.00 and 90.00 degrees. The distinct sites, in fractional coordinates, are Hg at (0.000, 0.000, 0.000), As at (0.000, 0.000, 0.500) and Se at (0.500, 0.500, 0.278).

6.
## TaV2Re (meta-GGA SCAN)

Data for TaV2Re at its PBEsol-relaxed geometry.

The calculated volume comes out at 228 Å³/cell. The energy relative to the elements comes out at -0.2865 eV/atom. As for the crystal system: cubic.

The space group is Fm-3m (No. 225) and the conventional cell measures 6.112, 6.112 and 6.112 Å, with angles of 90.00, 90.00 and 90.00 degrees. The distinct sites, in fractional coordinates, are Ta at (0.000, 0.000, 0.000), V at (0.250, 0.250, 0.250) and Re at (0.000, 0.000, 0.500).

7.
## YTiCuNi2 (meta-GGA SCAN)

Data for YTiCuNi2 at its PBEsol-relaxed geometry.

The calculated volume comes out at 90 Å³/cell. The energy relative to the elements comes out at 0.6841 eV/atom. As for the crystal system: tetragonal.

The space group is P4/mmm (No. 123) and the conventional cell measures 4.395, 4.395 and 4.661 Å, with angles of 90.00, 90.00 and 90.00 degrees. The distinct sites, in fractional coordinates, are Y at (0.000, 0.000, 0.000), Ti at (0.500, 0.500, 0.000), Cu at (0.000, 0.000, 0.500) and Ni at (0.000, 0.500, 0.500).

8.
## RbB3P (meta-GGA SCAN)

Data for RbB3P at its PBEsol-relaxed geometry.

The calculated volume comes out at 70 Å³/cell. The energy relative to the elements comes out at 1.7176 eV/atom. As for the crystal system: cubic.

The space group is Pm-3m (No. 221) and the conventional cell measures 4.112, 4.112 and 4.112 Å, with angles of 90.00, 90.00 and 90.00 degrees. The distinct sites, in fractional coordinates, are Rb at (0.000, 0.000, 0.000), B at (0.000, 0.500, 0.500) and P at (0.500, 0.500, 0.500).

9.
## MgSiAu2 (meta-GGA SCAN)

Data for MgSiAu2 at its PBEsol-relaxed geometry.

The calculated volume comes out at 133 Å³/cell. As for the crystal system: orthorhombic. As for the formation energy (no corrections): -224.6 meV/atom.

The space group is Imm2 (No. 44) and the conventional cell measures 3.702, 4.229 and 8.522 Å, with angles of 90.00, 90.00 and 90.00 degrees. The distinct sites, in fractional coordinates, are Mg at (0.000, 0.000, 0.000), Si at (0.000, 0.500, 0.760), Au at (0.000, 0.000, 0.475) and Au at (0.000, 0.500, 0.233).

10.
## LiCd2Ag (meta-GGA SCAN)

Data for LiCd2Ag at its PBEsol-relaxed geometry.

The calculated volume comes out at 70 Å³/cell. The energy relative to the elements comes out at -0.1721 eV/atom. As for the excess energy over the best structure of this formula in the dataset: 49 meV/atom. As for the crystal system: tetragonal.

The space group is P4mm (No. 99) and the conventional cell measures 3.250, 3.250 and 6.663 Å, with angles of 90.00, 90.00 and 90.00 degrees. The distinct sites, in fractional coordinates, are Li at (0.000, 0.000, 0.000), Cd at (0.000, 0.000, 0.464), Cd at (0.500, 0.500, 0.761) and Ag at (0.500, 0.500, 0.206).

11.
## Ba2ScBr (meta-GGA SCAN)

Data for Ba2ScBr at its PBEsol-relaxed geometry.

The calculated volume comes out at 146 Å³/cell. As for the excess energy over the best structure of this formula in the dataset: 0 meV/atom. As for the crystal system: tetragonal. As for the formation energy (no corrections): -592.3 meV/atom.

The space group is P4/mmm (No. 123) and the conventional cell measures 3.833, 3.833 and 9.952 Å, with angles of 90.00, 90.00 and 90.00 degrees. The distinct sites, in fractional coordinates, are Ba at (0.000, 0.000, 0.229), Sc at (0.500, 0.500, 0.500) and Br at (0.500, 0.500, 0.000).

12.
## CeNi2Sn2 (meta-GGA SCAN)

Data for CeNi2Sn2 at its PBEsol-relaxed geometry.

The calculated volume comes out at 190 Å³/cell. The energy relative to the elements comes out at -0.5395 eV/atom. As for the crystal system: tetragonal.

The space group is P4/nmm (No. 129, origin choice 2) and the conventional cell measures 4.380, 4.380 and 9.894 Å, with angles of 90.00, 90.00 and 90.00 degrees. The distinct sites, in fractional coordinates, are Ce at (0.250, 0.250, 0.235), Ni at (0.250, 0.250, 0.627), Ni at (0.250, 0.750, 0.000), Sn at (0.250, 0.250, 0.874) and Sn at (0.250, 0.750, 0.500).

13.
## Mg2AlIn (meta-GGA SCAN)

Data for Mg2AlIn at its PBEsol-relaxed geometry.

The calculated volume comes out at 165 Å³/cell. The energy relative to the elements comes out at -0.0774 eV/atom. As for the crystal system: tetragonal.

The space group is I4/mmm (No. 139) and the conventional cell measures 4.367, 4.367 and 8.646 Å, with angles of 90.00, 90.00 and 90.00 degrees. The distinct sites, in fractional coordinates, are Mg at (0.000, 0.500, 0.250), Al at (0.000, 0.000, 0.000) and In at (0.000, 0.000, 0.500).

14.
## RbZrTl2Cr (meta-GGA SCAN)

Data for RbZrTl2Cr at its PBEsol-relaxed geometry.

The calculated volume comes out at 174 Å³/cell. The energy relative to the elements comes out at 1.8251 eV/atom. As for the crystal system: tetragonal.

The space group is P4/mmm (No. 123) and the conventional cell measures 5.747, 5.747 and 5.255 Å, with angles of 90.00, 90.00 and 90.00 degrees. The distinct sites, in fractional coordinates, are Rb at (0.000, 0.000, 0.000), Zr at (0.000, 0.000, 0.500), Tl at (0.000, 0.500, 0.000) and Cr at (0.500, 0.500, 0.500).

15.
## Ca2ZrBiH (meta-GGA SCAN)

Data for Ca2ZrBiH at its PBEsol-relaxed geometry.

The calculated volume comes out at 200 Å³/cell. As for the crystal system: tetragonal. For the total energy, the calculation gives -128.5 eV/cell.

The space group is P4/mmm (No. 123) and the conventional cell measures 6.019, 6.019 and 5.532 Å, with angles of 90.00, 90.00 and 90.00 degrees. The distinct sites, in fractional coordinates, are Ca at (0.000, 0.500, 0.000), Zr at (0.000, 0.000, 0.500), Bi at (0.000, 0.000, 0.000) and H at (0.500, 0.500, 0.500).

16.
## Na3ScPd (meta-GGA SCAN)

Data for Na3ScPd at its PBEsol-relaxed geometry.

The calculated volume comes out at 145 Å³/cell. The energy relative to the elements comes out at 0.5143 eV/atom. As for the excess energy over the best structure of this formula in the dataset: 0 meV/atom. As for the crystal system: cubic.

The space group is Pm-3m (No. 221) and the conventional cell measures 5.257, 5.257 and 5.257 Å, with angles of 90.00, 90.00 and 90.00 degrees. The distinct sites, in fractional coordinates, are Na at (0.000, 0.000, 0.500), Sc at (0.500, 0.500, 0.500) and Pd at (0.000, 0.000, 0.000).

17.
## ZnPtN2O (meta-GGA SCAN)

Data for ZnPtN2O at its PBEsol-relaxed geometry.

The calculated volume comes out at 61 Å³/cell. As for the crystal system: tetragonal. As for the formation energy (no corrections): 1088.8 meV/atom.

The space group is P4/mmm (No. 123) and the conventional cell measures 3.722, 3.722 and 4.421 Å, with angles of 90.00, 90.00 and 90.00 degrees. The distinct sites, in fractional coordinates, are Zn at (0.000, 0.000, 0.000), Pt at (0.500, 0.500, 0.500), N at (0.000, 0.500, 0.500) and O at (0.500, 0.500, 0.000).

18.
## TiZnI2N (meta-GGA SCAN)

Data for TiZnI2N at its PBEsol-relaxed geometry.

The calculated volume comes out at 117 Å³/cell. As for the crystal system: tetragonal. As for the formation energy (no corrections): -72.5 meV/atom.

The space group is P4/mmm (No. 123) and the conventional cell measures 5.597, 5.597 and 3.728 Å, with angles of 90.00, 90.00 and 90.00 degrees. The distinct sites, in fractional coordinates, are Ti at (0.000, 0.000, 0.000), Zn at (0.500, 0.500, 0.500), I at (0.000, 0.500, 0.000) and N at (0.000, 0.000, 0.500).

19.
## MgBeRh2 (meta-GGA SCAN)

Data for MgBeRh2 at its PBEsol-relaxed geometry.

The calculated volume comes out at 50 Å³/cell. The energy relative to the elements comes out at -0.5001 eV/atom. As for the excess energy over the best structure of this formula in the dataset: 89 meV/atom. As for the crystal system: tetragonal.

The space group is P4/mmm (No. 123) and the conventional cell measures 4.121, 4.121 and 2.946 Å, with angles of 90.00, 90.00 and 90.00 degrees. The distinct sites, in fractional coordinates, are Mg at (0.000, 0.000, 0.000), Be at (0.500, 0.500, 0.000) and Rh at (0.000, 0.500, 0.500).

20.
## Re2BiSb (meta-GGA SCAN)

Data for Re2BiSb at its PBEsol-relaxed geometry.

The calculated volume comes out at 439 Å³/cell. As for the crystal system: tetragonal. As for the formation energy (no corrections): 1747.2 meV/atom.

The space group is I-42d (No. 122) and the conventional cell measures 6.285, 6.285 and 11.121 Å, with angles of 90.00, 90.00 and 90.00 degrees. The distinct sites, in fractional coordinates, are Re at (0.238, 0.250, 0.125), Bi at (0.000, 0.000, 0.500) and Sb at (0.000, 0.000, 0.000).

21.
## ZnAs2W (meta-GGA SCAN)

Data for ZnAs2W at its PBEsol-relaxed geometry.

The calculated volume comes out at 202 Å³/cell. The energy relative to the elements comes out at 0.1425 eV/atom. As for the crystal system: trigonal.

The space group is R-3m (No. 166, hexagonal axes) and the conventional cell measures 3.2990, 3.2990 and 21.4787 Å, with angles of 90.00, 90.00 and 120.00 degrees. The distinct sites, in fractional coordinates, are Zn at (0.0000, 0.0000, 0.0000), As at (0.0000, 0.0000, 0.2461) and W at (0.0000, 0.0000, 0.5000).

22.
## ScZnBr2 (meta-GGA SCAN)

Data for ScZnBr2 at its PBEsol-relaxed geometry.

The calculated volume comes out at 216 Å³/cell. As for the crystal system: orthorhombic. As for the formation energy (no corrections): -916.2 meV/atom.

The space group is Immm (No. 71) and the conventional cell measures 3.463, 4.700 and 13.288 Å, with angles of 90.00, 90.00 and 90.00 degrees. The distinct sites, in fractional coordinates, are Sc at (0.000, 0.000, 0.000), Zn at (0.000, 0.000, 0.500) and Br at (0.000, 0.500, 0.347).

23.
## CaCd2Si (meta-GGA SCAN)

Data for CaCd2Si at its PBEsol-relaxed geometry.

The calculated volume comes out at 281 Å³/cell. As for the crystal system: trigonal. As for the formation energy (no corrections): -60.1 meV/atom.

The space group is R-3m (No. 166, hexagonal axes) and the conventional cell measures 4.4318, 4.4318 and 16.5341 Å, with angles of 90.00, 90.00 and 120.00 degrees. The distinct sites, in fractional coordinates, are Ca at (0.0000, 0.0000, 0.0000), Cd at (0.0000, 0.0000, 0.2229) and Si at (0.0000, 0.0000, 0.5000).

24.
## KBeP (meta-GGA SCAN)

Data for KBeP at its PBEsol-relaxed geometry.

The calculated volume comes out at 61 Å³/cell. The energy relative to the elements comes out at -0.5683 eV/atom. As for the crystal system: hexagonal.

The space group is P-6m2 (No. 187) and the conventional cell measures 3.7198, 3.7198 and 5.0973 Å, with angles of 90.00, 90.00 and 120.00 degrees. The distinct sites, in fractional coordinates, are K at (0.0000, 0.0000, 0.0000), Be at (0.6667, 0.3333, 0.5000) and P at (0.3333, 0.6667, 0.5000).

25.
## Li3TaO4 (meta-GGA SCAN)

Data for Li3TaO4 at its PBEsol-relaxed geometry.

The calculated volume comes out at 591 Å³/cell. As for the excess energy over the best structure of this formula in the dataset: 0 meV/atom. As for the crystal system: monoclinic. As for the formation energy (no corrections): -2714.0 meV/atom.

The space group is C2/c (No. 15) and the conventional cell measures 8.457, 8.470 and 9.269 Å, with angles of 90.00, 117.06 and 90.00 degrees. The distinct sites, in fractional coordinates, are Li at (0.042, 0.103, 0.125), Li at (0.182, 0.376, 0.365), Li at (0.186, 0.119, 0.885), Ta at (0.079, 0.359, 0.625), O at (0.058, 0.390, 0.113), O at (0.061, 0.136, 0.619), O at (0.167, 0.377, 0.863) and O at (0.195, 0.125, 0.368).

26.
## Li2SiAgB (meta-GGA SCAN)

Data for Li2SiAgB at its PBEsol-relaxed geometry.

The calculated volume comes out at 97 Å³/cell. As for the crystal system: tetragonal. As for the formation energy (no corrections): 1058.8 meV/atom.

The space group is P4/mmm (No. 123) and the conventional cell measures 4.627, 4.627 and 4.538 Å, with angles of 90.00, 90.00 and 90.00 degrees. The distinct sites, in fractional coordinates, are Li at (0.000, 0.500, 0.000), Si at (0.000, 0.000, 0.500), Ag at (0.000, 0.000, 0.000) and B at (0.500, 0.500, 0.500).